[1]
Density functional theory data (PBE-GGA) for a relaxed structure of CuMoW.

Cell: 6.790 6.659 2.670 Å, 81.31 75.82 22.87°
Element x y z (fractional)
Cu: 0.000 0.000 0.000
Mo: 0.337 0.337 0.663
W: 0.662 0.662 0.338

Calculated formation energy   231.5 meV per atom
Offset from the most stable computed form   0 meV/atom
Space-group type   Fmm2 (42)

---

[2]
Density functional theory data (PBE-GGA) for a relaxed structure of NaCoN2.

Cell: 6.625 6.625 6.625 Å, 25.18 25.18 25.18°
Element x y z (fractional)
Na: 0.000 0.000 0.000
Co: 0.500 0.500 0.500
N: 0.115 0.115 0.115
N: 0.885 0.885 0.885

Offset from the most stable computed form   425 meV/atom
Raw formation energy   0.666 eV per atom
Space-group type   R-3m (166)

---

[3]
Density functional theory data (PBE-GGA) for a relaxed structure of RbInSb.

Cell: 6.569 6.569 9.070 Å, 119.08 119.08 41.67°
Element x y z (fractional)
Rb: 0.062 0.062 0.348
Rb: 0.938 0.938 0.652
In: 0.361 0.361 0.955
In: 0.639 0.639 0.045
Sb: 0.298 0.298 0.235
Sb: 0.702 0.702 0.765

Raw formation energy   -0.356 eV per atom
Space-group type   C2/m (12)

---

[4]
Density functional theory data (PBE-GGA) for a relaxed structure of SbPtO2F.

Cell: 4.115 4.115 4.239 Å, 90.00 90.00 90.00°
Element x y z (fractional)
Sb: 0.000 0.000 0.000
Pt: 0.500 0.500 0.500
O: 0.000 0.500 0.000
O: 0.500 0.000 0.000
F: 0.000 0.000 0.500

Raw formation energy   -0.302 eV per atom
Space-group type   P4/mmm (123)

---

[5]
Density functional theory data (PBE-GGA) for a relaxed structure of TmTl2GeS4.

Cell: 6.819 3.835 7.802 Å, 90.00 106.44 90.00°
Element x y z (fractional)
Tm: 0.000 0.000 0.000
Tl: 0.000 0.500 0.500
Tl: 0.500 0.000 0.500
Ge: 0.500 0.500 0.000
S: 0.241 0.500 0.192
S: 0.278 0.000 0.810
S: 0.722 0.000 0.190
S: 0.759 0.500 0.808

Raw formation energy   -0.825 eV per atom
Space-group type   P2/m (10)

---

[6]
Density functional theory data (PBE-GGA) for a relaxed structure of RbZnCd.

Cell: 6.876 6.876 7.237 Å, 101.42 101.42 40.55°
Element x y z (fractional)
Rb: 0.111 0.111 0.338
Rb: 0.889 0.889 0.662
Zn: 0.414 0.414 0.065
Zn: 0.586 0.586 0.935
Cd: 0.192 0.192 0.885
Cd: 0.808 0.808 0.115

Calculated formation energy   39.3 meV per atom
Offset from the most stable computed form   37 meV/atom
Space-group type   C2/m (12)